The following is a PBE calculation of crystalline InCuBPt2 at its relaxed geometry, from Alexandria via LeMat-Bulk.

Summary:
Fermi-level density of states: 1.83 states/eV per cell
Total DFT energy (no corrections): -0.193 Ha/atom
E_form: -0.13 eV per atom

```
data_InCuBPt2
_cell_length_a 4.271
_cell_length_b 4.271
_cell_length_c 4.080
_cell_angle_alpha 90.00
_cell_angle_beta 90.00
_cell_angle_gamma 90.00
_space_group_name_H-M_alt 'P 4/m m m'
_space_group_IT_number 123
_space_group_name_Hall '-P 4 2'
loop_
_atom_site_label
_atom_site_fract_x
_atom_site_fract_y
_atom_site_fract_z
In1 0.000 0.000 0.000
Cu1 0.500 0.500 0.000
B1 0.500 0.500 0.500
Pt1 0.000 0.500 0.500
```